[1]
# BAs2BrO GGA-PBE optimized geometry
# - Space-group type: P4/mmm, No. 123
# - Density of states at the Fermi level: 3.0 states/eV/cell
# - Formation energy (no corrections): 1114 meV per atom
data_BAs2BrO
_chemical_formula_sum 'B1 As2 Br1 O1'
_symmetry_space_group_name_H-M 'P 1'
_symmetry_Int_Tables_number 1
_cell_length_a 4.407
_cell_length_b 4.407
_cell_length_c 4.401
_cell_angle_alpha 90.00
_cell_angle_beta 90.00
_cell_angle_gamma 90.00
loop_
_symmetry_equiv_pos_as_xyz
'x,y,z'
loop_
_atom_site_label
_atom_site_type_symbol
_atom_site_fract_x
_atom_site_fract_y
_atom_site_fract_z
_atom_site_occupancy
As1 As 0.000 0.500 0.000 1
As2 As 0.500 0.000 0.000 1
O1 O 0.500 0.500 0.500 1
B1 B 0.000 0.000 0.000 1
Br1 Br 0.000 0.000 0.500 1

***

[2]
# Be3CoH GGA-PBE optimized geometry
# - Space-group type: Pm-3m, No. 221
# - Total DFT energy (no corrections): -15.7 eV per cell
# - Density of states at the Fermi level: 2.4 states/eV/cell
data_Be3CoH
_chemical_formula_sum 'Be3 Co1 H1'
_symmetry_space_group_name_H-M 'P 1'
_symmetry_Int_Tables_number 1
_cell_length_a 3.951
_cell_length_b 3.951
_cell_length_c 3.951
_cell_angle_alpha 90.00
_cell_angle_beta 90.00
_cell_angle_gamma 90.00
loop_
_symmetry_equiv_pos_as_xyz
'x,y,z'
loop_
_atom_site_label
_atom_site_type_symbol
_atom_site_fract_x
_atom_site_fract_y
_atom_site_fract_z
_atom_site_occupancy
Be1 Be 0.500 0.000 0.000 1
Be2 Be 0.000 0.500 0.000 1
Be3 Be 0.000 0.000 0.500 1
Co1 Co 0.000 0.000 0.000 1
H1 H 0.500 0.500 0.500 1

***

[3]
# Ca2Al2Cu3 GGA-PBE optimized geometry
# - Space-group type: C2/m, No. 12
# - DFT formation energy: -0.21 eV per atom
# - Density of states at the Fermi level: 2.9 states/eV/cell
data_Ca2Al2Cu3
_chemical_formula_sum 'Ca2 Al2 Cu3'
_symmetry_space_group_name_H-M 'P 1'
_symmetry_Int_Tables_number 1
_cell_length_a 4.072
_cell_length_b 6.853
_cell_length_c 5.900
_cell_angle_alpha 66.35
_cell_angle_beta 69.81
_cell_angle_gamma 72.72
loop_
_symmetry_equiv_pos_as_xyz
'x,y,z'
loop_
_atom_site_label
_atom_site_type_symbol
_atom_site_fract_x
_atom_site_fract_y
_atom_site_fract_z
_atom_site_occupancy
Ca1 Ca 0.638 0.247 0.476 1
Ca2 Ca 0.362 0.753 0.524 1
Cu1 Cu 0.844 0.426 0.886 1
Cu2 Cu 0.000 0.000 0.000 1
Cu3 Cu 0.156 0.574 0.114 1
Al1 Al 0.371 0.207 0.051 1
Al2 Al 0.629 0.793 0.949 1

***

[4]
# KRb2LaI6 GGA-PBE optimized geometry
# - Space-group type: P2_1/c, No. 14
# - Density of states at the Fermi level: 0.0 states/eV/cell
# - Formation energy (no corrections): -1520 meV per atom
data_KRb2LaI6
_chemical_formula_sum 'K2 Rb4 La2 I12'
_symmetry_space_group_name_H-M 'P 1'
_symmetry_Int_Tables_number 1
_cell_length_a 8.729
_cell_length_b 9.331
_cell_length_c 12.480
_cell_angle_alpha 90.00
_cell_angle_beta 88.40
_cell_angle_gamma 90.00
loop_
_symmetry_equiv_pos_as_xyz
'x,y,z'
loop_
_atom_site_label
_atom_site_type_symbol
_atom_site_fract_x
_atom_site_fract_y
_atom_site_fract_z
_atom_site_occupancy
I1 I 0.631 0.046 0.263 1
I2 I 0.293 0.683 0.059 1
I3 I 0.328 0.714 0.430 1
I4 I 0.369 0.954 0.737 1
I5 I 0.207 0.183 0.441 1
I6 I 0.828 0.786 0.930 1
I7 I 0.869 0.546 0.237 1
I8 I 0.793 0.817 0.559 1
I9 I 0.707 0.317 0.941 1
I10 I 0.672 0.286 0.570 1
I11 I 0.172 0.214 0.070 1
I12 I 0.131 0.454 0.763 1
La1 La 0.000 0.500 0.000 1
La2 La 0.500 0.000 0.500 1
Rb1 Rb 0.034 0.915 0.256 1
Rb2 Rb 0.466 0.415 0.244 1
Rb3 Rb 0.534 0.585 0.756 1
Rb4 Rb 0.966 0.085 0.744 1
K1 K 0.500 0.000 0.000 1
K2 K 0.000 0.500 0.500 1

***

Q: The highest density of states at the Fermi level belongs to which entry?
A: BAs2BrO